No. 1
Computed, not measured: an optimized crystal structure of Zr2Zn2Os at the GGA-PBE level of DFT.

The structure in POSCAR format:
```
Zr2Zn2Os
1.0
6.889 0.000 0.000
0.000 6.889 0.000
0.000 0.000 3.660
Zr Zn Os
4 4 2
direct
0.320 0.180 0.500
0.680 0.820 0.500
0.820 0.320 0.500
0.180 0.680 0.500
0.876 0.624 0.000
0.376 0.876 0.000
0.624 0.124 0.000
0.124 0.376 0.000
0.000 0.000 0.000
0.500 0.500 0.000
```

Calculated values
E_tot: -0.233 Ha/atom
V: 174 Å³/cell
Total magnetic moment: 0.0 μB per cell
Energy relative to the elements: -85 kJ/mol of formula units


No. 2
Computed, not measured: an optimized crystal structure of Zr4BePd at the GGA-PBE level of DFT.

The structure in POSCAR format:
```
Zr4BePd
1.0
5.250 -0.304 -1.303
-3.272 4.117 -1.303
0.158 0.304 5.407
Zr Pd Be
4 1 1
direct
0.593 0.093 0.185
0.907 0.407 0.815
0.407 0.593 0.500
0.093 0.907 0.500
0.500 0.500 0.000
0.000 0.000 0.000
```

Calculated values
E_tot: -0.274 Ha/atom
V: 116 Å³/cell
Total magnetic moment: 0.0 μB per cell
Energy relative to the elements: -153 kJ/mol of formula units


No. 3
Computed, not measured: an optimized crystal structure of Be2TlCuIr at the GGA-PBE level of DFT.

The structure in POSCAR format:
```
Be2TlCuIr
1.0
-1.433 -3.079 2.600
2.821 -3.261 -2.307
3.186 0.824 2.732
Be Cu Ir Tl
2 1 1 1
direct
0.500 0.000 0.000
0.000 0.000 0.500
0.000 0.500 0.000
0.000 0.000 0.000
0.500 0.500 0.500
```

Calculated values
E_tot: -0.151 Ha/atom
V: 89 Å³/cell
Total magnetic moment: 0.0 μB per cell
Energy relative to the elements: 213 kJ/mol of formula units


No. 4
Computed, not measured: an optimized crystal structure of Rb3InF8 at the GGA-PBE level of DFT.

The structure in POSCAR format:
```
Rb3InF8
1.0
6.255 0.000 0.000
0.000 6.255 0.000
-3.128 -3.128 6.182
In F Rb
1 8 3
direct
0.000 0.000 0.000
0.309 0.900 0.209
0.691 0.100 0.791
0.900 0.309 0.209
0.100 0.100 0.791
0.100 0.691 0.791
0.900 0.900 0.209
0.309 0.309 0.209
0.691 0.691 0.791
0.750 0.250 0.500
0.250 0.750 0.500
0.500 0.500 0.000
```

Calculated values
E_tot: -0.144 Ha/atom
V: 242 Å³/cell
Total magnetic moment: 2.0 μB per cell


No. 5
Computed, not measured: an optimized crystal structure of Ca2Ga4Cu3Ir at the GGA-PBE level of DFT.

The structure in POSCAR format:
```
Ca2Ga4Cu3Ir
1.0
4.056 0.000 0.000
0.000 4.056 0.000
0.000 0.000 10.870
Cu Ga Ca Ir
3 4 2 1
direct
0.000 0.500 0.138
0.500 0.000 0.862
0.000 0.000 0.500
0.000 0.000 0.000
0.000 0.500 0.365
0.500 0.000 0.635
0.500 0.500 0.000
0.000 0.500 0.754
0.500 0.000 0.246
0.500 0.500 0.500
```

Calculated values
E_tot: -0.151 Ha/atom
V: 179 Å³/cell
Total magnetic moment: 0.0 μB per cell
Energy relative to the elements: -369 kJ/mol of formula units


No. 6
Computed, not measured: an optimized crystal structure of Np4UAs5 at the GGA-PBE level of DFT.

The structure in POSCAR format:
```
Np4UAs5
1.0
3.987 0.000 -0.769
-0.299 5.580 -1.549
0.040 0.022 10.927
Np As U
4 5 1
direct
0.600 0.600 0.200
0.200 0.200 0.401
0.800 0.800 0.599
0.400 0.400 0.800
0.600 0.100 0.199
0.400 0.900 0.801
0.000 0.500 0.000
0.800 0.300 0.600
0.200 0.700 0.400
0.000 0.000 0.000
```

Calculated values
E_tot: -0.342 Ha/atom
V: 243 Å³/cell
Total magnetic moment: 13.2 μB per cell
Energy relative to the elements: -652 kJ/mol of formula units